i:
This record from Alexandria describes a geometry-optimized Fe2Ni2Pd structure. The functional is PBE.

Cell: 6.833 6.833 2.693 Å, 90.00 90.00 90.00°
Sites, in units of the cell vectors:
Ni 0.627 0.127 0.000
Ni 0.373 0.873 0.000
Ni 0.873 0.627 0.000
Ni 0.127 0.373 0.000
Fe 0.830 0.330 0.500
Fe 0.670 0.830 0.500
Fe 0.170 0.670 0.500
Fe 0.330 0.170 0.500
Pd 0.000 0.000 0.000
Pd 0.500 0.500 0.000

As for the space-group type: P4/mbm (127).

***

ii:
This record from Alexandria describes a geometry-optimized Fe2Ni2Pd structure. The functional is PBE.

Cell: 3.830 3.830 4.993 Å, 90.00 90.00 110.68°
Sites, in units of the cell vectors:
Fe 0.500 0.500 0.743
Fe 0.500 0.500 0.257
Ni 0.824 0.176 0.500
Ni 0.176 0.824 0.500
Pd 0.000 0.000 0.000

As for the space-group type: Cmmm (65).

***

Computed relative energies in units of eV/atom: i 0.000; ii 0.280